Record 1
The following is a DFT calculation (PBE-GGA) of a geometry-optimized Ge2Pb2Cl structure.

Summary:
SG: I4/mmm (139)
E_form (uncorrected): -192 meV/atom
final energy: -3.892 eV/atom
polymorph energy (0 for the lowest one): 0.00 kcal/mol of atoms
magnetic moment: 0.00 μB/atom

Unit cell a=3.9742 b=3.9742 c=8.9522 alpha=77.18 beta=77.18 gamma=90.00
Positions (direct):
Pb1 0.6130 0.6130 0.7740
Cl1 0.0000 0.0000 0.0000
Pb2 0.3870 0.3870 0.2260
Ge1 0.7500 0.2500 0.5000
Ge2 0.2500 0.7500 0.5000

=====

Record 2
The following is a DFT calculation (PBE-GGA) of a geometry-optimized MgCu2Se2 structure.

Summary:
SG: Cmcm (63)
E_form (uncorrected): -307 meV/atom
final energy: -3.658 eV/atom
polymorph energy (0 for the lowest one): 4.65 kcal/mol of atoms
magnetic moment: 0.00 μB/atom

Unit cell a=3.8864 b=3.8864 c=13.1099 alpha=90.00 beta=90.00 gamma=105.92
Positions (direct):
Se1 0.7160 0.7160 0.3766
Se2 0.7160 0.7160 0.1234
Cu1 0.2130 0.7870 0.5000
Cu2 0.2130 0.7870 0.0000
Mg1 0.1941 0.1941 0.2500
Se3 0.2840 0.2840 0.6234
Mg2 0.8059 0.8059 0.7500
Se4 0.2840 0.2840 0.8766
Cu3 0.7870 0.2130 0.0000
Cu4 0.7870 0.2130 0.5000

=====

Record 3
The following is a DFT calculation (PBE-GGA) of a geometry-optimized MnCrAu2 structure.

Summary:
energy relative to the elements: -0.03 eV per atom
SG: I-4m2 (119)
final energy: -6.363 eV/atom
magnetic moment: 0.01 μB/atom

Unit cell a=4.9840 b=4.9840 c=4.9840 alpha=133.32 beta=133.32 gamma=68.15
Positions (direct):
Mn1 0.7500 0.2500 0.5000
Cr1 0.5000 0.5000 0.0000
Au1 0.2500 0.7500 0.5000
Au2 0.0000 0.0000 0.0000

=====

Record 4
The following is a DFT calculation (PBE-GGA) of a geometry-optimized Si2RhCl structure.

Summary:
SG: R3m (160)
E_form (uncorrected): -39 meV/atom
final energy: -5.050 eV/atom
polymorph energy (0 for the lowest one): 1.77 kcal/mol of atoms
magnetic moment: 0.00 μB/atom

Unit cell a=6.6832 b=6.6832 c=6.6832 alpha=32.12 beta=32.12 gamma=32.12
Positions (direct):
Si1 0.0069 0.0069 0.0069
Cl1 0.4823 0.4823 0.4823
Rh1 0.7301 0.7301 0.7301
Si2 0.2808 0.2808 0.2808

=====

Record 5
The following is a DFT calculation (PBE-GGA) of a geometry-optimized AsH4 structure.

Summary:
SG: Pm-3m (221)
final energy: -2.858 eV/atom
magnetic moment: 0.08 μB/atom

Unit cell a=3.4839 b=3.4839 c=3.4839 alpha=90.00 beta=90.00 gamma=90.00
Positions (direct):
H1 0.0000 0.0000 0.0000
As1 0.5000 0.5000 0.5000
H2 0.0000 0.5000 0.5000
H3 0.5000 0.5000 0.0000
H4 0.5000 0.0000 0.5000

=====

Record 6
The following is a DFT calculation (PBE-GGA) of a geometry-optimized Na3ZnH6 structure.

Summary:
SG: Cmc2_1 (36)
final energy: -2.591 eV/atom
magnetic moment: 0.00 μB/atom

Unit cell a=4.9450 b=7.6549 c=7.6549 alpha=107.30 beta=90.00 gamma=90.00
Positions (direct):
H1 0.6337 0.5971 0.1094
Zn1 0.0086 0.1910 0.8090
Na1 0.4520 0.3481 0.6519
H2 0.1338 0.0671 0.9329
Na2 0.9695 0.6973 0.9129
H3 0.6337 0.8906 0.4029
H4 0.6338 0.9329 0.0671
H5 0.1337 0.4029 0.8906
Na3 0.9520 0.6519 0.3481
H6 0.2537 0.4651 0.4392
H7 0.1771 0.8072 0.1928
Na4 0.4695 0.3027 0.0871
H8 0.2537 0.5608 0.5349
H9 0.7537 0.5349 0.5608
H10 0.7537 0.4392 0.4651
Na5 0.9695 0.0871 0.3027
H11 0.1337 0.1094 0.5971
Na6 0.4695 0.9129 0.6973
H12 0.6771 0.1928 0.8072
Zn2 0.5086 0.8090 0.1910

=====

Repeat the fourth record exactly.
The following is a DFT calculation (PBE-GGA) of a geometry-optimized Si2RhCl structure.

Summary:
SG: R3m (160)
E_form (uncorrected): -39 meV/atom
final energy: -5.050 eV/atom
polymorph energy (0 for the lowest one): 1.77 kcal/mol of atoms
magnetic moment: 0.00 μB/atom

Unit cell a=6.6832 b=6.6832 c=6.6832 alpha=32.12 beta=32.12 gamma=32.12
Positions (direct):
Si1 0.0069 0.0069 0.0069
Cl1 0.4823 0.4823 0.4823
Rh1 0.7301 0.7301 0.7301
Si2 0.2808 0.2808 0.2808